CaLa2Mn | PBE-GGA | optimized geometry

For the total DFT energy (no corrections), the calculation gives -0.363 Ry per atom. The total magnetic moment comes out at 13.496 Bohr magnetons per cell. The calculated formation energy is 7.3 kcal/mol of atoms. The value obtained for the excess energy over the best structure of this formula in the dataset is 144 meV per atom.

The structure belongs to space group Fm-3m (No. 225); the cell edges are 7.956, 7.956 and 7.956 Å and the angles 90.00°, 90.00° and 90.00°. The inequivalent atoms are Ca at (0.000, 0.000, 0.000), La at (0.250, 0.250, 0.250) and Mn at (0.000, 0.000, 0.500).